(1)
This record from Alexandria describes a relaxed PmErMnRu crystal. The functional is PBE-GGA.

```
PmErMnRu
1.0
0.000 3.497 3.497
3.497 0.000 3.497
3.497 3.497 0.000
Pm Er Mn Ru
1 1 1 1
direct
0.000 0.000 0.000
0.500 0.500 0.500
0.750 0.750 0.750
0.250 0.250 0.250
```

Values from the calculation:
formation energy	-0.41	kcal/mol of atoms
E_tot	-27.829	eV for the cell shown
DOS(E_F)	0.605	states/eV/atom


(2)
This record from Alexandria describes a relaxed Dy12H5Ir3 crystal. The functional is PBE-GGA.

```
Dy12H5Ir3
1.0
-7.534 7.534 7.534
7.534 -7.534 7.534
7.534 7.534 -7.534
Dy H Ir
48 20 12
direct
0.027 0.217 0.122
0.027 0.311 0.905
0.095 0.622 0.405
0.095 0.717 0.689
0.095 0.878 0.405
0.095 0.973 0.689
0.122 0.027 0.217
0.122 0.595 0.905
0.189 0.217 0.595
0.189 0.473 0.595
0.217 0.122 0.027
0.217 0.595 0.189
0.283 0.311 0.905
0.283 0.473 0.378
0.311 0.905 0.027
0.311 0.905 0.283
0.378 0.283 0.473
0.378 0.595 0.905
0.405 0.095 0.622
0.405 0.095 0.878
0.405 0.811 0.527
0.405 0.811 0.783
0.473 0.378 0.283
0.473 0.595 0.189
0.527 0.405 0.811
0.527 0.622 0.717
0.595 0.189 0.217
0.595 0.189 0.473
0.595 0.905 0.122
0.595 0.905 0.378
0.622 0.405 0.095
0.622 0.717 0.527
0.689 0.095 0.717
0.689 0.095 0.973
0.717 0.527 0.622
0.717 0.689 0.095
0.783 0.405 0.811
0.783 0.878 0.973
0.811 0.527 0.405
0.811 0.783 0.405
0.878 0.405 0.095
0.878 0.973 0.783
0.905 0.027 0.311
0.905 0.122 0.595
0.905 0.283 0.311
0.905 0.378 0.595
0.973 0.689 0.095
0.973 0.783 0.878
0.000 0.000 0.000
0.000 0.000 0.500
0.000 0.500 0.000
0.000 0.500 0.500
0.125 0.750 0.875
0.125 0.875 0.250
0.250 0.125 0.875
0.250 0.625 0.375
0.375 0.250 0.625
0.375 0.625 0.750
0.500 0.000 0.000
0.500 0.000 0.500
0.500 0.500 0.000
0.500 0.500 0.500
0.625 0.375 0.250
0.625 0.750 0.375
0.750 0.375 0.625
0.750 0.875 0.125
0.875 0.125 0.750
0.875 0.250 0.125
0.125 0.250 0.375
0.125 0.375 0.750
0.250 0.375 0.125
0.250 0.875 0.625
0.375 0.125 0.250
0.375 0.750 0.125
0.625 0.250 0.875
0.625 0.875 0.750
0.750 0.125 0.375
0.750 0.625 0.875
0.875 0.625 0.250
0.875 0.750 0.625
```

Values from the calculation:
E_tot	-432.423	eV for the cell shown
DOS(E_F)	0.824	states/eV/atom


(3)
This record from Alexandria describes a relaxed HoTm2In3 crystal. The functional is PBE-GGA.

```
HoTm2In3
1.0
3.521 0.000 0.000
0.000 3.521 0.000
0.000 0.000 12.466
Ho Tm In
1 2 3
direct
0.000 0.000 0.000
0.000 0.000 0.334
0.000 0.000 0.666
0.500 0.500 0.168
0.500 0.500 0.500
0.500 0.500 0.832
```

Values from the calculation:
formation energy	-10.08	kcal/mol of atoms
E_tot	-24.358	eV for the cell shown
DOS(E_F)	0.560	states/eV/atom


> E_tot of number 2 (Dy12H5Ir3)?

-432.423 eV for the cell shown


> Look up the E_tot of the second one.

-432.423 eV for the cell shown


> The lowest E_tot belongs to which entry?

Dy12H5Ir3